No. 1
VASP calculation (PBE) on an optimized crystal structure of Y2TlP.

Results
- Crystal system: tetragonal
- Relative energy among the computed polymorphs: 1.554 eV per formula unit
- Formation enthalpy at 0 K: -2.4 eV/f.u.

```
8
Lattice="-3.9150 3.9150 3.5407 3.9150 -3.9150 3.5407 3.9150 3.9150 -3.5407" Properties=species:S:1:pos:R:3 pbc="T T T"
Y 5.8725 1.6656 -0.8852
Y 1.6656 1.9575 0.8852
Y -1.9575 2.2493 2.6555
Y 2.2493 1.9575 4.4258
Tl 3.9150 0.0000 1.7703
Tl 0.0000 0.0000 3.5407
P 0.0000 0.0000 0.0000
P 0.0000 3.9150 1.7703
```



No. 2
VASP calculation (PBE) on an optimized crystal structure of SrZn2Cl6.

Results
- Crystal system: monoclinic
- Relative energy among the computed polymorphs: 0.417 eV per formula unit
- E_form (uncorrected): -1.5205 eV/atom

```
9
Lattice="6.6612 -2.6108 0.0000 6.6612 2.6108 0.0000 -2.2372 0.0000 7.8303" Properties=species:S:1:pos:R:3 pbc="T T T"
Sr 0.0000 0.0000 0.0000
Zn 1.6545 0.0000 5.1286
Zn 9.4306 0.0000 2.7017
Cl -0.5455 0.0000 5.5460
Cl 2.3404 0.0000 2.9140
Cl 3.0077 0.0000 6.9830
Cl 8.0775 0.0000 0.8474
Cl 8.7448 0.0000 4.9164
Cl 11.6307 0.0000 2.2844
```



No. 3
VASP calculation (PBE) on an optimized crystal structure of Nd3Dy2ThTe6.

Results
- Crystal system: monoclinic
- E_form (uncorrected): -1.3033 eV/atom

```
12
Lattice="9.6440 -2.2035 0.0000 9.6440 2.2035 0.0000 -1.8413 0.0000 8.7832" Properties=species:S:1:pos:R:3 pbc="T T T"
Nd 0.0000 0.0000 0.0000
Nd 5.3436 0.0000 5.8340
Nd 12.1030 0.0000 2.9492
Dy 6.1494 0.0000 1.4705
Dy 11.2972 0.0000 7.3127
Th -0.9206 0.0000 4.3916
Te 3.1404 0.0000 0.6973
Te 2.1855 0.0000 5.2323
Te 9.0863 0.0000 2.1582
Te 8.3603 0.0000 6.6250
Te 15.2611 0.0000 3.5509
Te 14.3062 0.0000 8.0859
```



No. 4
VASP calculation (PBE) on an optimized crystal structure of CaSb2Se.

Results
- Crystal system: trigonal
- E_form (uncorrected): -0.1459 eV/atom

```
4
Lattice="2.1287 1.2290 7.5753 -2.1287 1.2290 7.5753 0.0000 -2.4581 7.5753" Properties=species:S:1:pos:R:3 pbc="T T T"
Ca 0.0000 0.0000 0.0000
Sb 0.0000 0.0000 5.4115
Sb 0.0000 0.0000 17.3143
Se 0.0000 0.0000 11.3629
```



No. 5
VASP calculation (PBE) on an optimized crystal structure of Li5BRh2.

Results
- Crystal system: orthorhombic
- Formation enthalpy at 0 K: -1.8 eV/f.u.

```
16
Lattice="6.1642 0.0000 0.0000 0.0000 11.3771 0.0000 0.0000 0.0000 2.9457" Properties=species:S:1:pos:R:3 pbc="T T T"
Li 0.0000 0.0000 0.0000
Li 0.2415 2.6894 0.0000
Li 1.4926 4.2604 1.4729
Li 1.5895 9.9489 1.4729
Li 2.8406 8.3779 0.0000
Li 3.0821 5.6886 0.0000
Li 3.3236 2.9992 0.0000
Li 4.5746 1.4282 1.4729
Li 4.6716 7.1167 1.4729
Li 5.9227 8.6877 0.0000
B 0.0000 5.6886 0.0000
B 3.0821 0.0000 0.0000
Rh 1.0388 6.7664 1.4729
Rh 2.0433 1.0779 1.4729
Rh 4.1209 10.2992 1.4729
Rh 5.1254 4.6107 1.4729
```



No. 6
VASP calculation (PBE) on an optimized crystal structure of SrZr2Ni.

Results
- Crystal system: orthorhombic
- Relative energy among the computed polymorphs: 0.678 eV per formula unit
- Formation enthalpy at 0 K: 0.8 eV/f.u.

```
4
Lattice="2.3503 -2.3565 0.0000 2.3503 2.3565 0.0000 0.0000 0.0000 8.9236" Properties=species:S:1:pos:R:3 pbc="T T T"
Sr 0.0000 0.0000 0.0000
Zr 2.3503 0.0000 3.0039
Zr 2.3503 0.0000 5.9198
Ni 0.0000 0.0000 4.4618
```



Number 1: E -5.78 eV/atom, magnetization 0.0 μB per formula unit, calculated density 6.32 Mg/m³. Number 2: E -3.22 eV/atom, magnetization 0.0 μB per formula unit, calculated density 2.63 Mg/m³. Number 3: E -5.45 eV/atom, magnetization 0.0 μB per formula unit, calculated density 7.81 Mg/m³. Number 4: E -3.58 eV/atom, magnetization 0.0 μB per formula unit, calculated density 5.06 Mg/m³. Number 5: E -4.09 eV/atom, magnetization 0.0 μB per formula unit, calculated density 4.04 Mg/m³. Number 6: E -5.95 eV/atom, magnetization 0.0 μB per formula unit, calculated density 5.52 Mg/m³.